Here is crystalline Pm6PrDy3Er2 at its relaxed geometry from Alexandria. Energies are from PBE. Values from VASP.

The structure in Quantum ESPRESSO input format:
```
&SYSTEM
  ibrav = 0, nat = 12, ntyp = 4
/
ATOMIC_SPECIES
Pm 145.00 Pm.upf
Pr 140.91 Pr.upf
Dy 162.50 Dy.upf
Er 167.26 Er.upf
CELL_PARAMETERS angstrom
-5.083 -1.520 3.304
4.434 -4.277 -1.056
5.666 5.144 9.116
ATOMIC_POSITIONS angstrom
Pm 2.165 -0.027 9.238
Pm 0.936 -3.055 3.974
Pm 2.852 -0.626 2.126
Pm 5.348 -0.949 7.780
Pm 4.081 2.402 7.390
Pm -0.331 0.296 3.584
Pr 0.000 0.000 0.000
Dy 5.678 -1.245 4.230
Dy -0.661 0.592 7.134
Dy 2.508 -0.327 5.682
Er 1.261 -3.358 0.398
Er -1.910 -2.439 1.851
```

Values from the calculation:
Fermi-level density of states = 14.58 states/eV/f.u.
formation energy = 0.015 eV/atom
crystal system = monoclinic

Here is crystalline AcLa5N5 at its relaxed geometry from Alexandria. Energies are from PBE. Values from VASP.

The structure in Quantum ESPRESSO input format:
```
&SYSTEM
  ibrav = 0, nat = 11, ntyp = 3
/
ATOMIC_SPECIES
Ac 227.00 Ac.upf
La 138.91 La.upf
N 14.01 N.upf
CELL_PARAMETERS angstrom
5.381 0.000 0.000
-2.691 5.615 -1.920
0.000 0.110 7.530
ATOMIC_POSITIONS angstrom
Ac 0.000 0.000 0.000
La 2.691 1.993 1.836
La 2.691 2.020 5.723
La 0.000 0.055 3.765
La 0.000 3.705 -0.113
La 0.000 3.732 3.774
N 2.691 3.633 0.007
N 2.691 3.825 3.621
N 2.691 0.000 0.000
N 0.000 1.900 1.989
N 0.000 2.092 5.604
```

Values from the calculation:
Fermi-level density of states = 4.09 states/eV/f.u.
formation energy from raw total energies = -1.1586 eV/atom
crystal system = monoclinic